1.
{
  "formula": "CsCdHO2",
  "functional": "PBE",
  "state": "optimized geometry",
  "lattice_angstrom": [[4.3656, 0.0000, 0.0000], [0.0000, 6.3261, 0.0906], [0.0000, -1.8488, 6.3079]],
  "species": ["Cd", "Cd", "O", "O", "O", "O", "H", "H", "Cs", "Cs"],
  "fractional_positions": [[0.4755, 0.0000, 0.2500], [0.5245, 0.0000, 0.7500], [0.2080, 0.1419, 0.0281], [0.7920, 0.1419, 0.5281], [0.7920, 0.8581, 0.9719], [0.2080, 0.8581, 0.4719], [0.0000, 0.0000, 0.0000], [0.0000, 0.0000, 0.5000], [0.2058, 0.5000, 0.7500], [0.7942, 0.5000, 0.2500]],
  "energy_ev_per_atom": -4.063
}

***

2.
{
  "formula": "LaRhPb2",
  "functional": "PBE",
  "state": "optimized geometry",
  "lattice_angstrom": [[4.4508, 0.0000, 0.0000], [0.0000, 4.4508, 0.0000], [2.2254, 2.2254, 11.1416]],
  "species": ["Pb", "Pb", "Pb", "Pb", "La", "La", "Rh", "Rh"],
  "fractional_positions": [[0.1530, 0.6250, 0.2500], [0.5970, 0.1250, 0.2500], [0.8750, 0.8470, 0.7500], [0.3750, 0.4030, 0.7500], [0.7500, 0.2500, 0.5000], [0.0000, 0.0000, 0.0000], [0.5000, 0.5000, 0.0000], [0.2500, 0.7500, 0.5000]],
  "e_form_ev_per_fu": -0.6
}

***

3.
{
  "formula": "P2HICl",
  "functional": "PBE",
  "state": "optimized geometry",
  "lattice_angstrom": [[-3.3737, -0.0972, 4.2643], [-3.4978, -3.0486, -2.8368], [2.5770, -4.7529, 1.9304]],
  "species": ["P", "P", "Cl", "I", "H"],
  "fractional_positions": [[0.5000, 0.0000, 0.0000], [0.0000, 0.5000, 0.0000], [0.0000, 0.0000, 0.5000], [0.0000, 0.0000, 0.0000], [0.5000, 0.5000, 0.5000]],
  "de_polymorph_ev_per_atom": 0.6832
}

***

4.
{
  "formula": "BaNa2Tc",
  "functional": "PBE",
  "state": "optimized geometry",
  "lattice_angstrom": [[-3.8490, 2.3946, 0.9748], [-2.2958, -2.3617, -3.2635], [-6.2503, -8.5149, 7.2653]],
  "species": ["Na", "Na", "Na", "Na", "Tc", "Tc", "Ba", "Ba"],
  "fractional_positions": [[0.5854, 0.1250, 0.2500], [0.8750, 0.8354, 0.7500], [0.1646, 0.6250, 0.2500], [0.3750, 0.4146, 0.7500], [0.2500, 0.7500, 0.5000], [0.5000, 0.5000, 0.0000], [0.0000, 0.0000, 0.0000], [0.7500, 0.2500, 0.5000]],
  "e_form_ev_per_fu": 3.7,
  "de_polymorph_ev_per_atom": 0.0000
}

***

| no. | total moment (μB/cell) |
| --- | --- |
| 1 | 0.000 |
| 2 | 0.000 |
| 3 | 4.029 |
| 4 | 5.510 |